# 1
Material: Cu2ReSiS
Method: DFT, PBE-GGA
State: optimized geometry

Cell: 4.3011 4.3011 4.5321 Å, 90.00 90.00 90.00°
Site moments in Bohr magnetons follow the coordinates.
Element x y z (fractional)
Re  0.5000  0.5000  0.5000  2.37
S  0.0000  0.0000  0.5000  -0.07
Si  0.0000  0.0000  0.0000  0.01
Cu  0.0000  0.5000  0.0000  -0.01
Cu  0.5000  0.0000  0.0000  -0.01

- crystal system = tetragonal
- N(E_F) (states/eV/atom) = 0.684
- M_tot (μB/f.u.) = 2.61
- mass density (g cm⁻³) = 7.40
- uncorrected formation energy (eV/atom) = 1.33
- E (Ha/atom) = -0.173

---

# 2
Material: ZnCu2ReS
Method: DFT, PBE-GGA
State: optimized geometry

Cell: 4.8748 4.3454 4.8748 Å, 90.00 90.00 90.00°
Site moments in Bohr magnetons follow the coordinates.
Element x y z (fractional)
Re  0.0000  0.0000  0.0000  0.16
Zn  0.5000  0.5000  0.5000  0.02
S  0.0000  0.5000  0.0000  0.00
Cu  0.0000  0.0000  0.5000  0.05
Cu  0.5000  0.0000  0.0000  0.01

- crystal system = tetragonal
- N(E_F) (states/eV/atom) = 0.920
- M_tot (μB/f.u.) = 0.27
- mass density (g cm⁻³) = 6.61
- uncorrected formation energy (eV/atom) = 0.83
- E (Ha/atom) = -0.161

---

# 3
Material: ZnCuReS2
Method: DFT, PBE-GGA
State: optimized geometry

Cell: 4.5037 5.0607 4.5037 Å, 90.00 90.00 90.00°
Element x y z (fractional)
Re  0.0000  0.0000  0.0000
Zn  0.5000  0.5000  0.5000
S  0.0000  0.0000  0.5000
S  0.5000  0.0000  0.0000
Cu  0.0000  0.5000  0.0000

- crystal system = tetragonal
- N(E_F) (states/eV/atom) = 0.250
- M_tot (μB/f.u.) = 0.00
- mass density (g cm⁻³) = 6.14
- uncorrected formation energy (eV/atom) = 0.45
- E (Ha/atom) = -0.175